This record from Alexandria via LeMat-Bulk describes a relaxed LiFeBr4 crystal. The functional is PBE.

The structure in extended XYZ format:
```
6
Lattice="6.1716 0.0000 0.0000 0.0000 6.1716 0.0000 -3.0858 -3.0858 5.4419" Properties=species:S:1:pos:R:3 pbc="T T T"
Li 3.0858 0.0000 2.7209
Fe 3.0858 3.0858 0.0000
Br 1.7215 4.4806 1.3341
Br 4.4502 1.6910 1.3341
Br -1.3948 -1.3643 4.1078
Br 1.3948 1.3643 4.1078
```

Total moment, μB per formula unit: 5.00
Raw formation energy, eV/f.u.: -5.0
Offset from the most stable computed form, meV per atom: 0
Electronic total energy, eV/cell: -22.1